Entry from the Alexandria database: VReIO2 after structural relaxation (GGA+U).

Calculated values
The density of states at the Fermi level is 4.5 states/eV/cell. The density comes out at 6.4 g cm⁻³. The space group is P4/mmm, No. 123. Its crystal system is tetragonal. The energy above the lowest structure with this stoichiometry is 539.4 meV/atom.

a b c (Å): 3.7911 3.7911 7.1551
angles (deg): 90.00 90.00 90.00
Last column: magnetic moment on the atom in μB.
Fractional coordinates of all 5 atoms:
I1 0.0000 0.0000 0.5000  0.05
V1 0.0000 0.0000 0.0000  1.37
O1 0.5000 0.0000 0.0000  -0.17
O2 0.0000 0.5000 0.0000  -0.17
Re1 0.5000 0.5000 0.5000  2.25